1.
SmSc4Pt4: relaxed, GGA-PBE. Values from VASP.

```
&SYSTEM
  ibrav = 0, nat = 18, ntyp = 3
/
ATOMIC_SPECIES
Sm 150.36 Sm.upf
Pt 195.08 Pt.upf
Sc 44.96 Sc.upf
CELL_PARAMETERS angstrom
5.4117 0.0000 0.0000
0.0000 8.7886 0.0000
0.0000 0.0000 8.7886
ATOMIC_POSITIONS crystal
Sm 0.0000 0.0000 0.0000
Pt 0.0831 0.8620 0.7010
Sc 0.5896 0.1050 0.3453
Pt 0.9169 0.2990 0.8620
Sc 0.0896 0.1547 0.6050
Sc 0.5896 0.8950 0.6547
Sc 0.9104 0.6050 0.8453
Sc 0.9104 0.3950 0.1547
Sm 0.5000 0.5000 0.5000
Pt 0.0831 0.1380 0.2990
Pt 0.9169 0.7010 0.1380
Sc 0.4104 0.6547 0.1050
Sc 0.0896 0.8453 0.3950
Pt 0.5831 0.2010 0.6380
Sc 0.4104 0.3453 0.8950
Pt 0.5831 0.7990 0.3620
Pt 0.4169 0.3620 0.2010
Pt 0.4169 0.6380 0.7990
```

Summary:
Crystal system: tetragonal
Total DFT energy (no corrections) in eV per atom: -7.010

2.
Nd6DyS8: relaxed, GGA-PBE. Values from VASP.

```
&SYSTEM
  ibrav = 0, nat = 15, ntyp = 3
/
ATOMIC_SPECIES
Dy 162.50 Dy.upf
Nd 144.24 Nd.upf
S 32.06 S.upf
CELL_PARAMETERS angstrom
-3.8988 4.3152 5.6666
-6.3306 -1.6027 -4.8257
0.3139 -7.0981 3.9308
ATOMIC_POSITIONS crystal
Dy 0.0000 0.0000 0.0000
Nd 0.4457 0.8197 0.6458
Nd 0.6458 0.4457 0.8197
Nd 0.5543 0.1803 0.3542
S 0.1562 0.6552 0.4187
S 0.6552 0.4187 0.1562
Nd 0.3542 0.5543 0.1803
S 0.8438 0.3448 0.5813
S 0.5813 0.8438 0.3448
S 0.7799 0.7799 0.7799
Nd 0.1803 0.3542 0.5543
S 0.4187 0.1562 0.6552
S 0.3448 0.5813 0.8438
S 0.2201 0.2201 0.2201
Nd 0.8197 0.6458 0.4457
```

Summary:
Formation energy without anion corrections in eV/atom: -1.642
Offset from the most stable computed form in eV/f.u.: 6.15
Crystal system: trigonal

3.
SrAs2Pt: relaxed, GGA-PBE. Values from VASP.

```
&SYSTEM
  ibrav = 0, nat = 4, ntyp = 3
/
ATOMIC_SPECIES
Pt 195.08 Pt.upf
As 74.92 As.upf
Sr 87.62 Sr.upf
CELL_PARAMETERS angstrom
5.2883 0.0135 0.0016
0.1959 5.2847 -0.0016
-1.7459 -3.6803 3.3725
ATOMIC_POSITIONS crystal
Pt 0.7500 0.2500 0.5000
As 0.9409 0.9409 0.0000
As 0.5591 0.5591 0.0000
Sr 0.2500 0.7500 0.5000
```

Summary:
Crystal system: orthorhombic
Total DFT energy (no corrections) in eV per atom: -4.880

4.
YMnAl2: relaxed, GGA-PBE. Values from VASP.

```
&SYSTEM
  ibrav = 0, nat = 4, ntyp = 3
/
ATOMIC_SPECIES
Y 88.91 Y.upf
Al 26.98 Al.upf
Mn 54.94 Mn.upf
CELL_PARAMETERS angstrom
-0.6421 5.0738 0.3700
-4.9022 0.8307 1.2536
3.5049 -3.0744 2.1347
ATOMIC_POSITIONS crystal
Y 0.7500 0.2500 0.5000
Al 0.2500 0.7500 0.5000
Mn 0.5000 0.5000 0.0000
Al 0.0000 0.0000 0.0000
```

Summary:
Crystal system: tetragonal
Total DFT energy (no corrections) in eV per atom: -5.837

5.
YRuW2: relaxed, GGA-PBE. Values from VASP.

```
&SYSTEM
  ibrav = 0, nat = 4, ntyp = 3
/
ATOMIC_SPECIES
Ru 101.07 Ru.upf
W 183.84 W.upf
Y 88.91 Y.upf
CELL_PARAMETERS angstrom
2.9081 0.0578 0.0000
-0.8475 2.7825 0.0000
0.0000 0.0000 8.7623
ATOMIC_POSITIONS crystal
Ru 0.5000 0.5000 0.7727
W 0.0000 0.0000 0.9882
W 0.5000 0.5000 0.2237
Y 0.0000 0.0000 0.5154
```

Summary:
Offset from the most stable computed form in eV/f.u.: 0.65
Crystal system: orthorhombic

6.
CaBTe2: relaxed, GGA-PBE. Values from VASP.

```
&SYSTEM
  ibrav = 0, nat = 8, ntyp = 3
/
ATOMIC_SPECIES
Te 127.60 Te.upf
Ca 40.08 Ca.upf
B 10.81 B.upf
CELL_PARAMETERS angstrom
-0.3916 -2.6766 -6.3175
-5.7841 -3.2747 1.7460
-5.5944 0.7033 -3.6891
ATOMIC_POSITIONS crystal
Te 0.5321 0.1250 0.2500
Te 0.2179 0.6250 0.2500
Ca 0.0000 0.0000 0.0000
B 0.5000 0.5000 0.0000
Te 0.8750 0.7821 0.7500
Te 0.3750 0.4679 0.7500
Ca 0.7500 0.2500 0.5000
B 0.2500 0.7500 0.5000
```

Summary:
Formation energy without anion corrections in eV/atom: -0.121
Crystal system: tetragonal